NdTlAg3: relaxed, PBE.

Summary:
Space group: Cmmm
Theoretical density, Mg/m³: 9.40
Uncorrected energy, eV/atom: -3.150
DFT formation energy, kJ/mol of formula units: -6
Total magnetization, μB per formula unit: 0.0

The structure in extended XYZ format:
```
10
Lattice="2.3951 -14.4612 0.0000 2.3951 14.4612 0.0000 0.0000 0.0000 3.4293" Properties=species:S:1:pos:R:3 pbc="T T T"
Nd 2.3951 9.3324 0.0000
Nd 2.3951 -9.3324 0.0000
Tl 2.3951 3.5720 1.7147
Tl 2.3951 -3.5720 1.7147
Ag 2.3951 12.9377 1.7147
Ag 2.3951 6.5340 1.7147
Ag 2.3951 1.3189 0.0000
Ag 2.3951 -1.3189 0.0000
Ag 2.3951 -6.5340 1.7147
Ag 2.3951 -12.9377 1.7147
```

***

Pm5Y3Sc: relaxed, PBE.

Summary:
Space group: C2/m
Theoretical density, Mg/m³: 5.43
Uncorrected energy, eV/atom: -5.065
DFT formation energy, kJ/mol of formula units: 376
Total magnetization, μB per formula unit: 0.5

The structure in extended XYZ format:
```
18
Lattice="8.6172 -4.0615 0.0000 8.6172 4.0615 0.0000 -2.3850 0.0000 9.0649" Properties=species:S:1:pos:R:3 pbc="T T T"
Pm -1.5873 0.0000 6.1008
Pm 4.8505 2.3185 3.8161
Pm 8.6172 2.6481 0.0000
Pm 4.2205 0.0000 6.5392
Pm 9.9989 2.3185 5.2488
Pm 4.8505 -2.3185 3.8161
Pm 10.6289 0.0000 2.5257
Pm 8.6172 -2.6481 0.0000
Pm 9.9989 -2.3185 5.2488
Pm 16.4367 0.0000 2.9641
Y 1.0532 0.0000 8.3305
Y 2.6294 0.0000 2.4693
Y 8.6172 0.0000 0.0000
Y 7.4247 0.0000 4.5324
Y 12.2200 0.0000 6.5956
Y 13.7962 0.0000 0.7344
Sc 5.9227 0.0000 1.4303
Sc 8.9267 0.0000 7.6346
```

***

Si2NiI: relaxed, PBE.

Summary:
Space group: Fm-3m
Theoretical density, Mg/m³: 5.43
Formation energy (no corrections), eV per formula unit: 4.1
Uncorrected energy, eV/atom: -3.516
Distance to the lowest polymorph of the same formula, meV per atom: 717
Total magnetization, μB per formula unit: 0.0

The structure in extended XYZ format:
```
4
Lattice="0.0000 3.3311 3.3311 3.3311 0.0000 3.3311 3.3311 3.3311 0.0000" Properties=species:S:1:pos:R:3 pbc="T T T"
Si 1.6656 1.6656 1.6656
Si 4.9967 4.9967 4.9967
Ni 0.0000 0.0000 0.0000
I 3.3311 3.3311 3.3311
```